(1)
Below is a geometry-optimized HgBiPd3Au structure, with properties calculated at the PBE level.

The structure in CIF format:
```
data_HgBiPd3Au
_chemical_formula_sum 'Hg4 Bi4 Pd12 Au4'
_cell_length_a 17.517
_cell_length_b 4.798
_cell_length_c 5.714
_cell_angle_alpha 90.00
_cell_angle_beta 105.21
_cell_angle_gamma 90.00
_space_group_name_H-M_alt 'C 1 2/m 1'
_space_group_IT_number 12
loop_
_space_group_symop_operation_xyz
'x,y,z'
'-x,-y,-z'
'-x,y,-z'
'x,-y,z'
'x+1/2,y+1/2,z'
'-x+1/2,-y+1/2,-z'
'-x+1/2,y+1/2,-z'
'x+1/2,-y+1/2,z'
loop_
_atom_site_label
_atom_site_fract_x
_atom_site_fract_y
_atom_site_fract_z
_atom_site_occupancy
Hg1 0.119 0.000 0.240 1
Bi1 0.207 0.000 0.799 1
Pd1 0.044 0.000 0.737 1
Pd2 0.126 0.500 0.933 1
Pd3 0.202 0.500 0.530 1
Au1 0.038 0.500 0.313 1
```

Summary:
* volume: 463.5 Å³ per cell
* total energy: -3.930 eV per atom

(2)
Below is a geometry-optimized SmHo2Mg2 structure, with properties calculated at the PBE level.

The structure in CIF format:
```
data_SmHo2Mg2
_chemical_formula_sum 'Sm4 Ho8 Mg8'
_cell_length_a 3.735
_cell_length_b 27.874
_cell_length_c 5.464
_cell_angle_alpha 90.00
_cell_angle_beta 90.00
_cell_angle_gamma 90.00
_space_group_name_H-M_alt 'C m c m'
_space_group_IT_number 63
_space_group_name_Hall '-C 2c 2'
loop_
_atom_site_label
_atom_site_fract_x
_atom_site_fract_y
_atom_site_fract_z
_atom_site_occupancy
Sm1 0.000 0.151 0.250 1
Ho1 0.000 0.044 0.750 1
Ho2 0.000 0.237 0.750 1
Mg1 0.000 0.360 0.250 1
Mg2 0.000 0.448 0.750 1
```

Summary:
* volume: 568.9 Å³ per cell
* total energy: -3.479 eV per atom

(3)
Below is a geometry-optimized LaAlCd structure, with properties calculated at the PBE level.

The structure in CIF format:
```
data_LaAlCd
_chemical_formula_sum 'La2 Al2 Cd2'
_cell_length_a 4.786
_cell_length_b 6.318
_cell_length_c 6.339
_cell_angle_alpha 62.53
_cell_angle_beta 79.29
_cell_angle_gamma 68.06
_space_group_name_H-M_alt 'P 1'
_space_group_IT_number 1
loop_
_space_group_symop_operation_xyz
'x,y,z'
loop_
_atom_site_label
_atom_site_fract_x
_atom_site_fract_y
_atom_site_fract_z
_atom_site_occupancy
La1 0.000 0.000 0.000 1
La2 0.291 0.280 0.449 1
Al1 0.713 0.597 0.006 1
Al2 0.946 0.865 0.560 1
Cd1 0.334 0.429 0.889 1
Cd2 0.572 0.708 0.418 1
```

Summary:
* volume: 157.7 Å³ per cell
* total energy: -3.468 eV per atom

(4)
Below is a geometry-optimized La12Pm5Er2 structure, with properties calculated at the PBE level.

The structure in CIF format:
```
data_La12Pm5Er2
_chemical_formula_sum 'La24 Pm10 Er4'
_cell_length_a 18.298
_cell_length_b 11.959
_cell_length_c 6.349
_cell_angle_alpha 90.00
_cell_angle_beta 102.55
_cell_angle_gamma 90.00
_space_group_name_H-M_alt 'C 1 2/m 1'
_space_group_IT_number 12
loop_
_space_group_symop_operation_xyz
'x,y,z'
'-x,-y,-z'
'-x,y,-z'
'x,-y,z'
'x+1/2,y+1/2,z'
'-x+1/2,-y+1/2,-z'
'-x+1/2,y+1/2,-z'
'x+1/2,-y+1/2,z'
loop_
_atom_site_label
_atom_site_fract_x
_atom_site_fract_y
_atom_site_fract_z
_atom_site_occupancy
La1 0.054 0.000 0.270 1
La2 0.104 0.248 0.621 1
La3 0.117 0.500 0.005 1
La4 0.195 0.242 0.199 1
Pm1 0.000 0.500 0.500 1
Pm2 0.179 0.000 0.854 1
Pm3 0.215 0.500 0.559 1
Er1 0.000 0.267 0.000 1
```

Summary:
* volume: 1356.3 Å³ per cell
* total energy: -4.758 eV per atom

(5)
Below is a geometry-optimized Sr3CdHg3 structure, with properties calculated at the PBE level.

The structure in CIF format:
```
data_Sr3CdHg3
_chemical_formula_sum 'Sr6 Cd2 Hg6'
_cell_length_a 10.1217
_cell_length_b 10.1217
_cell_length_c 5.3817
_cell_angle_alpha 90.00
_cell_angle_beta 90.00
_cell_angle_gamma 120.00
_space_group_name_H-M_alt 'P 63/m'
_space_group_IT_number 176
_space_group_name_Hall '-P 6c'
loop_
_atom_site_label
_atom_site_fract_x
_atom_site_fract_y
_atom_site_fract_z
_atom_site_occupancy
Sr1 0.0943 0.6728 0.2500 1
Cd1 0.3333 0.6667 0.7500 1
Hg1 0.0426 0.8336 0.7500 1
```

Summary:
* volume: 477.5 Å³ per cell
* total energy: -1.312 eV per atom

(6)
Below is a geometry-optimized SrCu2Ru2 structure, with properties calculated at the PBE level.

The structure in CIF format:
```
data_SrCu2Ru2
_chemical_formula_sum 'Sr2 Cu4 Ru4'
_cell_length_a 4.422
_cell_length_b 4.422
_cell_length_c 9.512
_cell_angle_alpha 90.00
_cell_angle_beta 90.00
_cell_angle_gamma 90.00
_space_group_name_H-M_alt 'I 4/m m m'
_space_group_IT_number 139
_space_group_name_Hall '-I 4 2'
loop_
_atom_site_label
_atom_site_fract_x
_atom_site_fract_y
_atom_site_fract_z
_atom_site_occupancy
Sr1 0.000 0.000 0.000 1
Cu1 0.000 0.500 0.250 1
Ru1 0.000 0.000 0.380 1
```

Summary:
* volume: 186.0 Å³ per cell
* total energy: -5.309 eV per atom

(7)
Below is a geometry-optimized Li2MoRu structure, with properties calculated at the PBE level.

The structure in CIF format:
```
data_Li2MoRu
_chemical_formula_sum 'Li8 Mo4 Ru4'
_cell_length_a 6.014
_cell_length_b 6.014
_cell_length_c 6.014
_cell_angle_alpha 90.00
_cell_angle_beta 90.00
_cell_angle_gamma 90.00
_space_group_name_H-M_alt 'F -4 3 m'
_space_group_IT_number 216
_space_group_name_Hall 'F -4 2 3'
loop_
_atom_site_label
_atom_site_fract_x
_atom_site_fract_y
_atom_site_fract_z
_atom_site_occupancy
Li1 0.000 0.000 0.000 1
Li2 0.250 0.250 0.250 1
Mo1 0.000 0.000 0.500 1
Ru1 0.250 0.250 0.750 1
```

Summary:
* volume: 217.6 Å³ per cell
* total energy: -5.776 eV per atom

(8)
Below is a geometry-optimized ScFeCu structure, with properties calculated at the PBE level.

The structure in CIF format:
```
data_ScFeCu
_chemical_formula_sum 'Sc4 Fe4 Cu4'
_cell_length_a 6.054
_cell_length_b 6.054
_cell_length_c 6.054
_cell_angle_alpha 90.00
_cell_angle_beta 90.00
_cell_angle_gamma 90.00
_space_group_name_H-M_alt 'F -4 3 m'
_space_group_IT_number 216
_space_group_name_Hall 'F -4 2 3'
loop_
_atom_site_label
_atom_site_fract_x
_atom_site_fract_y
_atom_site_fract_z
_atom_site_occupancy
Sc1 0.000 0.000 0.000 1
Fe1 0.250 0.250 0.750 1
Cu1 0.250 0.250 0.250 1
```

Summary:
* volume: 221.8 Å³ per cell
* total energy: -5.511 eV per atom